1.
Entry from Alexandria: P2SIF after structural relaxation (PBE-GGA).

Calculated values
space group	P4/mmm, No. 123
E above lowest polymorph	0.9621	eV per atom

a b c (Å): 5.379 5.379 5.036
angles (deg): 90.00 90.00 90.00
Element x y z (fractional)
P1 0.000 0.500 0.000
P2 0.500 0.000 0.000
S1 0.000 0.000 0.500
I1 0.000 0.000 0.000
F1 0.500 0.500 0.500

=====

2.
Entry from Alexandria: ZrCoNi2 after structural relaxation (PBE-GGA).

Calculated values
uncorrected energy	-7.04	eV/atom
space group	I-4m2, No. 119

a b c (Å): 3.780 3.780 7.470
angles (deg): 90.00 90.00 90.00
Element x y z (fractional)
Zr1 0.000 0.000 0.000
Zr2 0.500 0.500 0.500
Co1 0.000 0.500 0.250
Co2 0.500 0.000 0.750
Ni1 0.000 0.000 0.500
Ni2 0.000 0.500 0.750
Ni3 0.500 0.000 0.250
Ni4 0.500 0.500 0.000

=====

3.
Entry from Alexandria: Ba12Sr6Mg after structural relaxation (PBE-GGA).

Calculated values
uncorrected energy	-1.78	eV/atom
space group	R-3, No. 148

a b c (Å): 10.434 10.434 10.434
angles (deg): 89.69 89.69 89.69
Element x y z (fractional)
Ba1 0.027 0.944 0.301
Ba2 0.056 0.699 0.973
Ba3 0.133 0.460 0.354
Ba4 0.301 0.027 0.944
Ba5 0.354 0.133 0.460
Ba6 0.460 0.354 0.133
Ba7 0.540 0.646 0.867
Ba8 0.646 0.867 0.540
Ba9 0.699 0.973 0.056
Ba10 0.867 0.540 0.646
Ba11 0.944 0.301 0.027
Ba12 0.973 0.056 0.699
Sr1 0.241 0.393 0.754
Sr2 0.246 0.759 0.607
Sr3 0.393 0.754 0.241
Sr4 0.607 0.246 0.759
Sr5 0.754 0.241 0.393
Sr6 0.759 0.607 0.246
Mg1 0.500 0.500 0.500

=====

4.
Entry from Alexandria: TiZnBi after structural relaxation (PBE-GGA).

Calculated values
uncorrected energy	-4.52	eV/atom
space group	Fmmm, No. 69

a b c (Å): 7.602 7.588 4.240
angles (deg): 73.97 73.61 32.42
Element x y z (fractional)
Ti1 0.000 0.000 0.500
Ti2 0.500 0.500 0.000
Zn1 0.129 0.129 0.871
Zn2 0.871 0.871 0.129
Bi1 0.344 0.344 0.656
Bi2 0.656 0.656 0.344

=====

5.
Entry from Alexandria: CsKGa2Sb2 after structural relaxation (PBE-GGA).

Calculated values
uncorrected energy	-2.97	eV/atom
space group	P-3m1, No. 164

a b c (Å): 4.515 4.515 12.161
angles (deg): 90.00 90.00 120.00
Element x y z (fractional)
Cs1 0.000 0.000 0.000
K1 0.000 0.000 0.500
Ga1 0.333 0.667 0.782
Ga2 0.667 0.333 0.218
Sb1 0.333 0.667 0.291
Sb2 0.667 0.333 0.709

=====

6.
Entry from Alexandria: SrMgH3 after structural relaxation (PBE-GGA).

Calculated values
space group	Pm-3m, No. 221
E above lowest polymorph	0.0000	eV per atom

a b c (Å): 4.053 4.053 4.053
angles (deg): 90.00 90.00 90.00
Element x y z (fractional)
Sr1 0.000 0.000 0.000
Mg1 0.500 0.500 0.500
H1 0.000 0.500 0.500
H2 0.500 0.000 0.500
H3 0.500 0.500 0.000

=====

Repeat the fourth record exactly.
Entry from Alexandria: TiZnBi after structural relaxation (PBE-GGA).

Calculated values
uncorrected energy	-4.52	eV/atom
space group	Fmmm, No. 69

a b c (Å): 7.602 7.588 4.240
angles (deg): 73.97 73.61 32.42
Element x y z (fractional)
Ti1 0.000 0.000 0.500
Ti2 0.500 0.500 0.000
Zn1 0.129 0.129 0.871
Zn2 0.871 0.871 0.129
Bi1 0.344 0.344 0.656
Bi2 0.656 0.656 0.344